Entry 1:
Here is a relaxed structure of Pm3Ho3Tm4 from the Alexandria database. Energies are from PBE-GGA.

a = 3.6499 Å, b = 9.3782 Å, c = 9.3782 Å
α = 90.21°, β = 90.00°, γ = 90.00°
Element x y z (fractional)
Ho: 0.0000 0.4952 0.9983
Ho: 0.5000 0.1740 0.8260
Ho: 0.0000 0.0017 0.5048
Tm: 0.0000 0.3745 0.6255
Tm: 0.0000 0.1260 0.1218
Tm: 0.0000 0.8782 0.8740
Tm: 0.0000 0.6245 0.3755
Pm: 0.5000 0.8267 0.1733
Pm: 0.5000 0.6738 0.6746
Pm: 0.5000 0.3254 0.3262

DOS at the Fermi energy = 7.5 states/eV per cell
Formation energy from the elements = 0.09 eV per atom
Magnetic moment = 0.000 μB/f.u.
Electronic total energy = -0.165 hartree per atom

Entry 2:
Here is a relaxed structure of Nb2BF from the Alexandria database. Energies are from PBE-GGA.

a = 4.1105 Å, b = 4.1105 Å, c = 4.1105 Å
α = 60.00°, β = 60.00°, γ = 60.00°
Element x y z (fractional)
Nb: 0.7500 0.7500 0.7500
Nb: 0.2500 0.2500 0.2500
B: 0.0000 0.0000 0.0000
F: 0.5000 0.5000 0.5000

Formation energy from raw total energies = -1.95 eV/f.u.
DOS at the Fermi energy = 0.9 states/eV per cell
Magnetic moment = 0.000 μB/f.u.
Electronic total energy = -0.281 hartree per atom

Entry 3:
Here is a relaxed structure of HgRu3 from the Alexandria database. Energies are from PBE-GGA.

a = 2.8034 Å, b = 2.8034 Å, c = 7.9209 Å
α = 90.00°, β = 90.00°, γ = 90.00°
Element x y z (fractional)
Ru: 0.0000 0.0000 0.5000
Ru: 0.5000 0.5000 0.2764
Ru: 0.5000 0.5000 0.7236
Hg: 0.0000 0.0000 0.0000

DOS at the Fermi energy = 4.9 states/eV per cell
Formation energy from the elements = 0.37 eV per atom
Magnetic moment = 0.000 μB/f.u.
Electronic total energy = -0.245 hartree per atom

Entry 4:
Here is a relaxed structure of Pr4DyTl2 from the Alexandria database. Energies are from PBE-GGA.

a = 5.6464 Å, b = 5.6464 Å, c = 9.6476 Å
α = 72.98°, β = 72.98°, γ = 60.00°
Element x y z (fractional)
Dy: 0.5000 0.5000 0.5000
Pr: 0.1303 0.1303 0.6091
Pr: 0.8697 0.8697 0.3909
Pr: 0.7313 0.7313 0.8061
Pr: 0.2687 0.2687 0.1939
Tl: 0.3870 0.3870 0.8390
Tl: 0.6130 0.6130 0.1610

DOS at the Fermi energy = 12.1 states/eV per cell
Formation energy from the elements = 0.01 eV per atom
Magnetic moment = 0.001 μB/f.u.
Electronic total energy = -0.149 hartree per atom